No. 1
A relaxed NaAg2PdF6 crystal, computed with PBE.

Geometry as POSCAR:
```
NaAg2PdF6
1.0
5.825 0.000 0.000
0.000 5.892 0.000
-5.658 0.000 8.602
Na Ag Pd F
2 4 2 12
Direct
0.000 0.000 0.000
0.000 0.500 0.500
0.257 0.048 0.749
0.257 0.452 0.249
0.743 0.548 0.751
0.743 0.952 0.251
0.500 0.000 0.500
0.500 0.500 0.000
0.144 0.058 0.257
0.144 0.442 0.757
0.280 0.683 0.059
0.280 0.817 0.559
0.393 0.222 0.068
0.393 0.278 0.568
0.607 0.722 0.432
0.607 0.778 0.932
0.720 0.183 0.441
0.720 0.317 0.941
0.856 0.558 0.243
0.856 0.942 0.743
```

Properties
Calculated total energy (eV per atom): -3.82
Uncorrected formation energy (eV/atom): -1.479
Mass density (g/cm3): 5.2
Space group: P2_1/c

No. 2
A relaxed NaPmAg2F6 crystal, computed with PBE.

Geometry as POSCAR:
```
NaPmAg2F6
1.0
5.982 0.000 0.000
0.000 6.190 0.000
-5.770 0.000 8.738
Na Pm Ag F
2 2 4 12
Direct
0.000 0.000 0.000
0.000 0.500 0.500
0.500 0.000 0.500
0.500 0.500 0.000
0.224 0.061 0.747
0.224 0.439 0.247
0.776 0.561 0.753
0.776 0.939 0.253
0.129 0.191 0.437
0.129 0.309 0.937
0.236 0.701 0.422
0.236 0.799 0.922
0.387 0.071 0.256
0.387 0.429 0.756
0.613 0.571 0.244
0.613 0.929 0.744
0.764 0.201 0.078
0.764 0.299 0.578
0.871 0.691 0.063
0.871 0.809 0.563
```

Properties
N(E_F) (states/eV/atom): 0.00
Calculated total energy (eV per atom): -4.84
Uncorrected formation energy (eV/atom): -2.537
Mass density (g/cm3): 5.1
Space group: P2_1/c

No. 3
A relaxed Na2PmAgF6 crystal, computed with PBE.

Geometry as POSCAR:
```
Na2PmAgF6
1.0
6.025 0.000 0.000
0.000 5.994 0.000
-5.917 0.000 9.311
Na Pm Ag F
4 2 2 12
Direct
0.207 0.011 0.210
0.207 0.489 0.710
0.793 0.511 0.290
0.793 0.989 0.790
0.500 0.000 0.000
0.500 0.500 0.500
0.000 0.000 0.500
0.000 0.500 0.000
0.157 0.177 0.989
0.157 0.323 0.489
0.177 0.741 0.348
0.177 0.759 0.848
0.484 0.195 0.819
0.484 0.305 0.319
0.516 0.695 0.681
0.516 0.805 0.181
0.823 0.241 0.152
0.823 0.259 0.652
0.843 0.677 0.511
0.843 0.823 0.011
```

Properties
N(E_F) (states/eV/atom): 0.00
Calculated total energy (eV per atom): -5.03
Uncorrected formation energy (eV/atom): -2.884
Mass density (g/cm3): 4.1
Space group: P2_1/c

No. 4
A relaxed NaPmAg2F8 crystal, computed with PBE.

Geometry as POSCAR:
```
NaPmAg2F8
1.0
-2.764 2.764 5.553
2.764 -2.764 5.553
2.764 2.764 -5.553
Na Pm Ag F
1 1 2 8
Direct
0.000 0.000 0.000
0.750 0.250 0.500
0.250 0.750 0.500
0.500 0.500 0.000
0.125 0.128 0.509
0.125 0.616 0.997
0.384 0.381 0.509
0.384 0.875 0.003
0.619 0.128 0.003
0.619 0.616 0.491
0.872 0.381 0.997
0.872 0.875 0.491
```

Properties
N(E_F) (states/eV/atom): 0.72
Calculated total energy (eV per atom): -4.55
Uncorrected formation energy (eV/atom): -2.318
Mass density (g/cm3): 5.2
Space group: I-4m2

No. 5
A relaxed Na2AgPtF6 crystal, computed with PBE.

Geometry as POSCAR:
```
Na2AgPtF6
1.0
5.783 0.000 0.000
2.807 5.108 0.000
2.769 1.576 5.241
Na Ag Pt F
2 1 1 6
Direct
0.000 0.000 0.000
0.482 0.466 0.537
0.201 0.190 0.389
0.688 0.680 0.924
0.043 0.758 0.715
0.333 0.608 0.156
0.402 0.069 0.693
0.616 0.885 0.153
0.769 0.446 0.717
0.882 0.293 0.213
```

Properties
Calculated total energy (eV per atom): -4.06
Uncorrected formation energy (eV/atom): -1.788
Mass density (g/cm3): 5.0
Space group: P1

No. 6
A relaxed NaAg2PtF8 crystal, computed with PBE.

Geometry as POSCAR:
```
NaAg2PtF8
1.0
-2.742 2.742 5.387
2.742 -2.742 5.387
2.742 2.742 -5.387
Na Ag Pt F
1 2 1 8
Direct
0.000 0.000 0.000
0.250 0.750 0.500
0.500 0.500 0.000
0.750 0.250 0.500
0.089 0.140 0.501
0.089 0.589 0.949
0.411 0.361 0.501
0.411 0.911 0.051
0.639 0.140 0.051
0.639 0.589 0.499
0.860 0.361 0.949
0.860 0.911 0.499
```

Properties
N(E_F) (states/eV/atom): 0.51
Calculated total energy (eV per atom): -3.67
Uncorrected formation energy (eV/atom): -1.330
Mass density (g/cm3): 6.0
Space group: I-4m2

No. 7
A relaxed Na2AgPtF8 crystal, computed with PBE.

Geometry as POSCAR:
```
Na2AgPtF8
1.0
5.006 0.000 0.000
0.000 7.129 0.000
-0.288 0.000 5.082
Na Ag Pt F
2 1 1 8
Direct
0.000 0.249 0.000
0.000 0.751 0.000
0.500 0.000 0.500
0.500 0.500 0.500
0.202 0.000 0.207
0.212 0.500 0.220
0.324 0.293 0.680
0.324 0.707 0.680
0.676 0.293 0.320
0.676 0.707 0.320
0.788 0.500 0.780
0.798 0.000 0.793
```

Properties
N(E_F) (states/eV/atom): 0.05
Calculated total energy (eV per atom): -4.05
Uncorrected formation energy (eV/atom): -1.839
Mass density (g/cm3): 4.6
Space group: P2/m

No. 8
A relaxed NaPuAgF6 crystal, computed with PBE.

Geometry as POSCAR:
```
NaPuAgF6
1.0
6.032 0.000 0.000
-3.016 5.224 0.000
0.000 0.000 9.812
Na Pu Ag F
2 2 2 12
Direct
0.333 0.667 0.250
0.667 0.333 0.750
0.333 0.667 0.750
0.667 0.333 0.250
0.000 0.000 0.000
0.000 0.000 0.500
0.023 0.366 0.634
0.023 0.657 0.866
0.343 0.366 0.866
0.343 0.977 0.634
0.366 0.023 0.134
0.366 0.343 0.366
0.634 0.657 0.634
0.634 0.977 0.866
0.657 0.023 0.366
0.657 0.634 0.134
0.977 0.343 0.134
0.977 0.634 0.366
```

Properties
Calculated total energy (eV per atom): -6.07
Uncorrected formation energy (eV/atom): -2.769
Mass density (g/cm3): 5.3
Space group: P-31c